Computed, not measured: a relaxed structure of ZrTlTe at the PBE level of DFT.

Calculated values
Crystal system: trigonal
Formation energy (no corrections) (eV/atom): -0.272
N(E_F) (states/eV per atom): 0.90
Uncorrected energy (eV per cell): -14.87

Cell and atoms, written as POSCAR:
```
ZrTlTe
1.0
3.692 0.000 0.000
-1.846 3.197 0.000
0.000 0.000 7.070
Zr Tl Te
1 1 1
Cartesian
0.000 0.000 0.000
0.000 2.132 4.758
1.846 1.066 1.902
```